The following is a DFT calculation (GGA-PBEsol) of a relaxed LiMn2O4 crystal.

Output
As for the total energy: -7.92 eV/atom. As for the crystal system: cubic. The polymorph energy (0 for the lowest one) is 0.000 eV/atom. The symmetry is No. 227.

abc: 5.6890 5.6925 5.6890
angles: 119.98 90.00 119.98
With the nearest neighbours (Å) after each atom.
Fractional coordinates of all 14 atoms:
O (0.2628, 0.5255, 0.2878)  3 Mn 1.92, 1 Li 1.92
O (0.7122, 0.9745, 0.7372)  3 Mn 1.92, 1 Li 1.92
Mn (0.5000, 0.5000, 0.5000)  6 O 1.92
O (0.7377, 0.0255, 0.2628)  3 Mn 1.92, 1 Li 1.92
O (0.7372, 0.4745, 0.7122)  3 Mn 1.92, 1 Li 1.92
O (0.2623, 0.9745, 0.7372)  3 Mn 1.92, 1 Li 1.92
Mn (0.0000, 0.5000, 0.5000)  6 O 1.92
Mn (0.5000, 0.0000, 0.5000)  6 O 1.92
Li (0.8749, 0.7499, 0.1249)  4 O 1.92
O (0.2878, 0.0255, 0.2628)  3 Mn 1.92, 1 Li 1.92
Li (0.1251, 0.2501, 0.8751)  4 O 1.92
Mn (0.5000, 0.0000, 0.0000)  6 O 1.92
O (0.7372, 0.4745, 0.2623)  3 Mn 1.92, 1 Li 1.92
O (0.2628, 0.5255, 0.7377)  3 Mn 1.92, 1 Li 1.92